# 1
A geometry-optimized Ac5La2PrNd structure. Source: Alexandria, functional PBE-GGA.

Unit cell a=8.533 b=8.533 c=20.857 alpha=90.00 beta=90.00 gamma=90.00
Space group I4/mcm (No. 140)
One atom of each set of equivalent atoms:
Ac 0.000 0.000 0.000 (multiplicity 4)
Ac 0.223 0.277 0.137 (multiplicity 16)
La 0.121 0.379 0.500 (multiplicity 8)
Pr 0.000 0.000 0.250 (multiplicity 4)
Nd 0.000 0.500 0.250 (multiplicity 4)

Results
Energy relative to the elements   0.2434 eV/atom

---

# 2
A geometry-optimized Y6Fe2Cu structure. Source: Alexandria, functional PBE-GGA.

Unit cell a=9.463 b=9.464 c=9.874 alpha=90.00 beta=90.00 gamma=90.00
Space group Immm (No. 71)
One atom of each set of equivalent atoms:
Y 0.000 0.203 0.185 (multiplicity 8)
Y 0.185 0.213 0.500 (multiplicity 8)
Y 0.201 0.500 0.278 (multiplicity 8)
Fe 0.000 0.000 0.391 (multiplicity 4)
Fe 0.116 0.000 0.000 (multiplicity 4)
Cu 0.000 0.500 0.000 (multiplicity 2)
Cu 0.000 0.500 0.500 (multiplicity 2)

Results
Energy relative to the elements   -0.0397 eV/atom

---

# 3
A geometry-optimized SmPuTeO2 structure. Source: Alexandria, functional PBE-GGA.

Unit cell a=3.988 b=3.988 c=12.799 alpha=90.00 beta=90.00 gamma=90.00
Space group I4mm (No. 107)
One atom of each set of equivalent atoms:
Sm 0.000 0.000 0.000 (multiplicity 2)
Pu 0.000 0.000 0.316 (multiplicity 2)
Te 0.000 0.000 0.661 (multiplicity 2)
O 0.000 0.500 0.409 (multiplicity 4)

Results
Formation energy from raw total energies   -2.65 eV/atom

---

# 4
A geometry-optimized AcPaSe3 structure. Source: Alexandria, functional PBE-GGA.

Unit cell a=7.836 b=4.279 c=16.772 alpha=90.00 beta=90.00 gamma=90.00
Space group Pnma (No. 62)
One atom of each set of equivalent atoms:
Ac 0.121 0.250 0.196 (multiplicity 4)
Pa 0.232 0.750 0.459 (multiplicity 4)
Se 0.006 0.250 0.401 (multiplicity 4)
Se 0.124 0.750 0.060 (multiplicity 4)
Se 0.171 0.250 0.787 (multiplicity 4)

Results
ΔE to the lowest computed polymorph   0 meV/atom
Formation energy from raw total energies   -1.65 eV/atom

---

Number 1: V 42.183 Å³ per atom. Number 2: V 24.566 Å³ per atom. Number 3: V 20.361 Å³ per atom. Number 4: V 28.116 Å³ per atom.